Entry 1:
DFT (PBE-GGA) results for a geometry-optimized NaInAs3 structure.

Formation energy from the elements = 0.850 eV per atom
Relative energy among the computed polymorphs = 294 meV per atom

CIF file:
```
data_NaInAs3
_chemical_formula_sum 'Na1 In1 As3'
_cell_length_a 5.083
_cell_length_b 5.083
_cell_length_c 5.083
_cell_angle_alpha 90.00
_cell_angle_beta 90.00
_cell_angle_gamma 90.00
_space_group_name_H-M_alt 'P m -3 m'
_space_group_IT_number 221
_space_group_name_Hall '-P 4 2 3'
loop_
_atom_site_label
_atom_site_fract_x
_atom_site_fract_y
_atom_site_fract_z
Na1 0.000 0.000 0.000
In1 0.500 0.500 0.500
As1 0.000 0.000 0.500
```


Entry 2:
DFT (PBE-GGA) results for a geometry-optimized NaIn2As2 structure.

Formation energy from the elements = -0.105 eV per atom

CIF file:
```
data_NaIn2As2
_chemical_formula_sum 'Na2 In4 As4'
_cell_length_a 5.084
_cell_length_b 5.084
_cell_length_c 10.416
_cell_angle_alpha 90.00
_cell_angle_beta 90.00
_cell_angle_gamma 90.00
_space_group_name_H-M_alt 'I 4/m m m'
_space_group_IT_number 139
_space_group_name_Hall '-I 4 2'
loop_
_atom_site_label
_atom_site_fract_x
_atom_site_fract_y
_atom_site_fract_z
Na1 0.000 0.000 0.000
In1 0.000 0.000 0.365
As1 0.000 0.500 0.250
```


Entry 3:
DFT (PBE-GGA) results for a geometry-optimized Na3InAs3 structure.

Formation energy from the elements = -0.340 eV per atom

CIF file:
```
data_Na3InAs3
_chemical_formula_sum 'Na12 In4 As12'
_cell_length_a 11.721
_cell_length_b 4.659
_cell_length_c 13.558
_cell_angle_alpha 90.00
_cell_angle_beta 108.36
_cell_angle_gamma 90.00
_space_group_name_H-M_alt 'C 1 2/m 1'
_space_group_IT_number 12
loop_
_space_group_symop_operation_xyz
'x,y,z'
'-x,-y,-z'
'-x,y,-z'
'x,-y,z'
'x+1/2,y+1/2,z'
'-x+1/2,-y+1/2,-z'
'-x+1/2,y+1/2,-z'
'x+1/2,-y+1/2,z'
loop_
_atom_site_label
_atom_site_fract_x
_atom_site_fract_y
_atom_site_fract_z
Na1 0.010 0.000 0.139
Na2 0.107 0.000 0.423
Na3 0.209 0.000 0.702
In1 0.207 0.500 0.893
As1 0.004 0.500 0.719
As2 0.097 0.500 0.572
As3 0.152 0.500 0.076
```


Entry 4:
DFT (PBE-GGA) results for a geometry-optimized NaIn2As structure.

Formation energy from the elements = -0.098 eV per atom

CIF file:
```
data_NaIn2As
_chemical_formula_sum 'Na1 In2 As1'
_cell_length_a 4.483
_cell_length_b 4.483
_cell_length_c 4.770
_cell_angle_alpha 90.00
_cell_angle_beta 90.00
_cell_angle_gamma 90.00
_space_group_name_H-M_alt 'P 4/m m m'
_space_group_IT_number 123
_space_group_name_Hall '-P 4 2'
loop_
_atom_site_label
_atom_site_fract_x
_atom_site_fract_y
_atom_site_fract_z
Na1 0.000 0.000 0.000
In1 0.000 0.500 0.500
As1 0.500 0.500 0.000
```


Entry 5:
DFT (PBE-GGA) results for a geometry-optimized NaInAs3 structure.

Formation energy from the elements = 0.557 eV per atom
Relative energy among the computed polymorphs = 0 meV per atom

CIF file:
```
data_NaInAs3
_chemical_formula_sum 'Na1 In1 As3'
_cell_length_a 5.317
_cell_length_b 5.317
_cell_length_c 5.317
_cell_angle_alpha 90.00
_cell_angle_beta 90.00
_cell_angle_gamma 90.00
_space_group_name_H-M_alt 'P m -3 m'
_space_group_IT_number 221
_space_group_name_Hall '-P 4 2 3'
loop_
_atom_site_label
_atom_site_fract_x
_atom_site_fract_y
_atom_site_fract_z
Na1 0.000 0.000 0.000
In1 0.500 0.500 0.500
As1 0.000 0.500 0.500
```


Entry 6:
DFT (PBE-GGA) results for a geometry-optimized Na5InAs3 structure.

Formation energy from the elements = -0.326 eV per atom

CIF file:
```
data_Na5InAs3
_chemical_formula_sum 'Na20 In4 As12'
_cell_length_a 15.447
_cell_length_b 6.859
_cell_length_c 9.687
_cell_angle_alpha 90.00
_cell_angle_beta 108.50
_cell_angle_gamma 90.00
_space_group_name_H-M_alt 'C 1 2/c 1'
_space_group_IT_number 15
loop_
_space_group_symop_operation_xyz
'x,y,z'
'-x,-y,-z'
'-x,y,-z+1/2'
'x,-y,z+1/2'
'x+1/2,y+1/2,z'
'-x+1/2,-y+1/2,-z'
'-x+1/2,y+1/2,-z+1/2'
'x+1/2,-y+1/2,z+1/2'
loop_
_atom_site_label
_atom_site_fract_x
_atom_site_fract_y
_atom_site_fract_z
Na1 0.000 0.246 0.250
Na2 0.165 0.256 0.571
Na3 0.167 0.246 0.093
In1 0.000 0.247 0.750
As1 0.000 0.500 0.000
As2 0.156 0.034 0.826
```


Entry 7:
DFT (PBE-GGA) results for a geometry-optimized Na3InAs structure.

Formation energy from the elements = 0.480 eV per atom
Relative energy among the computed polymorphs = 663 meV per atom

CIF file:
```
data_Na3InAs
_chemical_formula_sum 'Na3 In1 As1'
_cell_length_a 5.632
_cell_length_b 5.632
_cell_length_c 5.632
_cell_angle_alpha 90.00
_cell_angle_beta 90.00
_cell_angle_gamma 90.00
_space_group_name_H-M_alt 'P m -3 m'
_space_group_IT_number 221
_space_group_name_Hall '-P 4 2 3'
loop_
_atom_site_label
_atom_site_fract_x
_atom_site_fract_y
_atom_site_fract_z
Na1 0.000 0.000 0.500
In1 0.000 0.000 0.000
As1 0.500 0.500 0.500
```


Entry 8:
DFT (PBE-GGA) results for a geometry-optimized NaInAs2O7 structure.

Raw formation energy = -1452 meV per atom

CIF file:
```
data_NaInAs2O7
_chemical_formula_sum 'Na8 In8 As16 O56'
_cell_length_a 10.464
_cell_length_b 8.880
_cell_length_c 14.286
_cell_angle_alpha 90.00
_cell_angle_beta 109.80
_cell_angle_gamma 90.00
_space_group_name_H-M_alt 'C 1 2/c 1'
_space_group_IT_number 15
loop_
_space_group_symop_operation_xyz
'x,y,z'
'-x,-y,-z'
'-x,y,-z+1/2'
'x,-y,z+1/2'
'x+1/2,y+1/2,z'
'-x+1/2,-y+1/2,-z'
'-x+1/2,y+1/2,-z+1/2'
'x+1/2,-y+1/2,z+1/2'
loop_
_atom_site_label
_atom_site_fract_x
_atom_site_fract_y
_atom_site_fract_z
Na1 0.098 0.142 0.125
In1 0.136 0.264 0.639
As1 0.126 0.459 0.427
As2 0.169 0.076 0.863
O1 0.019 0.460 0.649
O2 0.022 0.090 0.890
O3 0.090 0.297 0.479
O4 0.177 0.099 0.316
O5 0.193 0.401 0.022
O6 0.198 0.225 0.799
O7 0.248 0.435 0.374
```


Entry 9:
DFT (PBE-GGA) results for a geometry-optimized Na3In2As3O12 structure.

Raw formation energy = -1562 meV per atom

CIF file:
```
data_Na3In2As3O12
_chemical_formula_sum 'Na12 In8 As12 O48'
_cell_length_a 12.777
_cell_length_b 13.462
_cell_length_c 6.970
_cell_angle_alpha 90.00
_cell_angle_beta 113.95
_cell_angle_gamma 90.00
_space_group_name_H-M_alt 'C 1 2/c 1'
_space_group_IT_number 15
loop_
_space_group_symop_operation_xyz
'x,y,z'
'-x,-y,-z'
'-x,y,-z+1/2'
'x,-y,z+1/2'
'x+1/2,y+1/2,z'
'-x+1/2,-y+1/2,-z'
'-x+1/2,y+1/2,-z+1/2'
'x+1/2,-y+1/2,z+1/2'
loop_
_atom_site_label
_atom_site_fract_x
_atom_site_fract_y
_atom_site_fract_z
Na1 0.000 0.000 0.000
Na2 0.000 0.222 0.250
Na3 0.000 0.479 0.250
In1 0.221 0.344 0.142
As1 0.000 0.221 0.750
As2 0.238 0.396 0.631
O1 0.046 0.294 0.972
O2 0.098 0.138 0.728
O3 0.124 0.080 0.316
O4 0.157 0.497 0.112
O5 0.165 0.335 0.396
O6 0.227 0.321 0.827
```


Entry 10:
DFT (PBE-GGA) results for a geometry-optimized NaInAs2O6 structure.

Raw formation energy = -1233 meV per atom

CIF file:
```
data_NaInAs2O6
_chemical_formula_sum 'Na3 In3 As6 O18'
_cell_length_a 5.4280
_cell_length_b 5.4280
_cell_length_c 16.5083
_cell_angle_alpha 90.00
_cell_angle_beta 90.00
_cell_angle_gamma 120.00
_space_group_name_H-M_alt 'R -3'
_space_group_IT_number 148
_space_group_name_Hall '-R 3'
loop_
_atom_site_label
_atom_site_fract_x
_atom_site_fract_y
_atom_site_fract_z
Na1 0.0000 0.0000 0.0000
In1 0.0000 0.0000 0.5000
As1 0.0000 0.0000 0.2776
O1 0.0153 0.3744 0.9105
```


Entry 11:
DFT (PBE-GGA) results for a geometry-optimized Na3In3AsO8 structure.

Raw formation energy = -1505 meV per atom

CIF file:
```
data_Na3In3AsO8
_chemical_formula_sum 'Na9 In9 As3 O24'
_cell_length_a 6.4891
_cell_length_b 6.4891
_cell_length_c 16.7837
_cell_angle_alpha 90.00
_cell_angle_beta 90.00
_cell_angle_gamma 120.00
_space_group_name_H-M_alt 'R -3 m'
_space_group_IT_number 166
_space_group_name_Hall '-R 3 2"'
loop_
_atom_site_label
_atom_site_fract_x
_atom_site_fract_y
_atom_site_fract_z
Na1 0.0000 0.5000 0.0000
In1 0.0000 0.5000 0.5000
As1 0.0000 0.0000 0.5000
O1 0.0000 0.0000 0.2361
O2 0.0328 0.5164 0.2320
```


Entry 12:
DFT (PBE-GGA) results for a geometry-optimized NaInAsO4 structure.

Raw formation energy = -1340 meV per atom

CIF file:
```
data_NaInAsO4
_chemical_formula_sum 'Na4 In4 As4 O16'
_cell_length_a 6.373
_cell_length_b 6.506
_cell_length_c 8.872
_cell_angle_alpha 90.00
_cell_angle_beta 90.00
_cell_angle_gamma 90.00
_space_group_name_H-M_alt 'I m m a'
_space_group_IT_number 74
_space_group_name_Hall '-I 2b 2'
loop_
_atom_site_label
_atom_site_fract_x
_atom_site_fract_y
_atom_site_fract_z
Na1 0.250 0.250 0.250
In1 0.000 0.000 0.000
As1 0.000 0.250 0.629
O1 0.000 0.027 0.743
O2 0.238 0.250 0.989
```


| no. | energy (eV per atom) | size of the total moment (μB/f.u.) |
| --- | --- | --- |
| 1 | -2.751 | 0.00 |
| 2 | -3.324 | 0.00 |
| 3 | -3.289 | 0.00 |
| 4 | -2.959 | 0.00 |
| 5 | -3.045 | 0.00 |
| 6 | -2.913 | 0.57 |
| 7 | -1.789 | 0.00 |
| 8 | -5.822 | 0.00 |
| 9 | -5.706 | 0.00 |
| 10 | -5.544 | 0.00 |
| 11 | -5.271 | 0.00 |
| 12 | -5.418 | 0.00 |